DFT (PBE) results for a relaxed Ac2PtAuO5 crystal.

The electronic total energy is -6.4684 eV/atom. The calculation puts the formation energy (no corrections) at -15.89 eV/f.u.

The structure belongs to space group P4/mbm (No. 127); the cell edges are 7.4226, 7.4226 and 5.6257 Å and the angles 90.00°, 90.00° and 90.00°. The distinct sites, in fractional coordinates, are Ac at (0.1810, 0.3190, 0.0000), Pt at (0.0000, 0.5000, 0.5000), Au at (0.0000, 0.0000, 0.5000), O at (0.0000, 0.0000, 0.0000) and O at (0.1292, 0.6292, 0.2482).